No. 1
Compound: Er4Cd3Rh
Source: Alexandria
Functional: PBE-GGA
Structure: relaxed

Output
* energy relative to the elements: -0.47 eV per atom
* V: 192.0 Å³/cell

Structure (POSCAR):
```
Er4Cd3Rh
1.0
-3.1499 1.0103 1.3123
0.0332 -2.7808 2.2205
7.0537 8.4247 10.4447
Er Rh Cd
4 1 3
direct
0.0000 0.0000 0.1054
0.0000 0.0000 0.6292
0.0000 0.0000 0.8946
0.0000 0.0000 0.3708
0.5000 0.5000 0.0000
0.5000 0.5000 0.5000
0.5000 0.5000 0.2420
0.5000 0.5000 0.7580
```



No. 2
Compound: La2Sm12Dy
Source: Alexandria
Functional: PBE-GGA
Structure: relaxed

Output
* energy relative to the elements: 0.15 eV per atom
* V: 1046.3 Å³/cell

Structure (POSCAR):
```
La2Sm12Dy
1.0
6.6407 -1.5383 0.0000
-1.5383 6.6407 0.0000
0.0000 0.0000 25.0711
Sm La Dy
24 4 2
direct
0.5000 0.5000 0.3275
0.7703 0.2703 0.5815
0.0000 0.0000 0.6725
0.5000 0.5000 0.6725
0.0000 0.0000 0.1986
0.2506 0.2494 0.0755
0.2487 0.7487 0.1258
0.2742 0.2258 0.5596
0.7494 0.7506 0.0755
0.7258 0.7742 0.5596
0.7513 0.2513 0.1258
0.7506 0.7494 0.9245
0.2297 0.7297 0.5815
0.7487 0.2487 0.8742
0.5000 0.5000 0.8014
0.7297 0.2297 0.4185
0.5000 0.5000 0.1986
0.7742 0.7258 0.4404
0.2494 0.2506 0.9245
0.0000 0.0000 0.8014
0.2258 0.2742 0.4404
0.2513 0.7513 0.8742
0.2703 0.7703 0.4185
0.0000 0.0000 0.3275
0.0000 0.5000 0.7337
0.5000 0.0000 0.7260
0.5000 0.0000 0.2663
0.0000 0.5000 0.2740
0.5000 0.0000 0.9999
0.0000 0.5000 0.0001
```



No. 3
Compound: DyYInOs
Source: Alexandria
Functional: PBE-GGA
Structure: relaxed

Output
* energy relative to the elements: -0.24 eV per atom
* V: 90.8 Å³/cell

Structure (POSCAR):
```
DyYInOs
1.0
5.0456 0.0000 0.0000
2.5228 4.3696 0.0000
2.5228 1.4565 4.1197
Y Dy In Os
1 1 1 1
direct
0.0000 0.0000 0.0000
0.5000 0.5000 0.5000
0.7500 0.7500 0.7500
0.2500 0.2500 0.2500
```



No. 4
Compound: Zn2TcAu
Source: Alexandria
Functional: PBE-GGA
Structure: relaxed

Output
* energy relative to the elements: 0.09 eV per atom
* E above lowest polymorph: 0.084 eV/atom
* V: 61.7 Å³/cell

Structure (POSCAR):
```
Zn2TcAu
1.0
-3.9865 -2.7534 -2.0312
4.5468 -0.4845 -2.5866
0.7126 -2.5544 0.5139
Au Zn Tc
1 2 1
direct
0.5000 0.0000 0.5000
0.5000 0.5000 0.0000
0.0000 0.0000 0.0000
0.0000 0.5000 0.5000
```



No. 5
Compound: Na2ZnPb2
Source: Alexandria
Functional: PBE-GGA
Structure: relaxed

Output
* energy relative to the elements: 0.12 eV per atom
* E above lowest polymorph: 0.157 eV/atom
* V: 298.0 Å³/cell

Structure (POSCAR):
```
Na2ZnPb2
1.0
-7.4706 2.2535 4.4189
4.1156 -1.6432 7.7960
1.1442 3.5219 0.1383
Zn Pb Na
2 4 4
direct
0.0000 0.0000 0.0000
0.5000 0.5000 0.0000
0.8793 0.3793 0.5000
0.1207 0.6207 0.5000
0.6207 0.8793 0.5000
0.3793 0.1207 0.5000
0.3213 0.8213 0.0000
0.8213 0.6787 0.0000
0.6787 0.1787 0.0000
0.1787 0.3213 0.0000
```



No. 6
Compound: LaInSe
Source: Alexandria
Functional: PBE-GGA
Structure: relaxed

Output
* E above lowest polymorph: 0.376 eV/atom
* V: 83.1 Å³/cell
* energy relative to the elements, uncorrected: -0.80 eV per atom

Structure (POSCAR):
```
LaInSe
1.0
-3.6916 -3.1795 1.0824
4.4369 -0.4733 2.2358
-1.1777 2.3310 2.8306
La Se In
1 1 1
direct
0.6667 0.3333 0.3332
0.3333 0.6667 0.8341
0.0000 0.0000 0.8328
```



No. 7
Compound: LaSmLuTl
Source: Alexandria
Functional: PBE-GGA
Structure: relaxed

Output
* energy relative to the elements: -0.09 eV per atom
* V: 122.7 Å³/cell

Structure (POSCAR):
```
LaSmLuTl
1.0
5.5779 0.0000 0.0000
2.7890 4.8306 0.0000
2.7890 1.6102 4.5543
La Sm Tl Lu
1 1 1 1
direct
0.0000 0.0000 0.0000
0.5000 0.5000 0.5000
0.7500 0.7500 0.7500
0.2500 0.2500 0.2500
```



No. 8
Compound: NpAsAu2
Source: Alexandria
Functional: PBE-GGA
Structure: relaxed

Output
* energy relative to the elements: -0.19 eV per atom
* V: 83.9 Å³/cell

Structure (POSCAR):
```
NpAsAu2
1.0
-2.5868 -3.1203 -3.1040
3.0865 -2.6256 0.0672
-1.6375 -1.8426 3.2169
Au Np As
2 1 1
direct
0.0000 0.5000 0.0000
0.0000 0.0000 0.5000
0.5000 0.0000 0.0000
0.5000 0.5000 0.5000
```



No. 9
Compound: Ce2Ho3ScTe6
Source: Alexandria
Functional: PBE-GGA
Structure: relaxed

Output
* V: 352.3 Å³/cell
* energy relative to the elements, uncorrected: -1.26 eV per atom

Structure (POSCAR):
```
Ce2Ho3ScTe6
1.0
4.3283 0.0000 0.0000
0.0000 8.7988 0.2644
-2.1642 -2.5856 9.1735
Te Ho Sc Ce
6 3 1 2
direct
0.0046 0.7604 0.0093
0.9954 0.2396 0.9907
0.3368 0.4090 0.6735
0.6611 0.0724 0.3222
0.6632 0.5910 0.3265
0.3389 0.9276 0.6778
0.5000 0.5000 0.0000
0.1718 0.8357 0.3437
0.8282 0.1643 0.6563
0.5000 0.0000 0.0000
0.8327 0.6647 0.6654
0.1673 0.3353 0.3346
```



No. 10
Compound: ZrRe2Tc
Source: Alexandria
Functional: PBE-GGA
Structure: relaxed

Output
* energy relative to the elements: 0.00 eV per atom
* E above lowest polymorph: 0.066 eV/atom
* V: 65.4 Å³/cell

Structure (POSCAR):
```
ZrRe2Tc
1.0
-3.1711 -4.2149 -0.5787
1.8246 -4.6270 1.8490
-1.3023 4.9916 1.2427
Re Zr Tc
2 1 1
direct
0.7528 0.2528 0.5000
0.9913 0.9913 0.0000
0.2497 0.7497 0.5000
0.5062 0.5062 0.0000
```



No. 11
Compound: Pm7ZnS5
Source: Alexandria
Functional: PBE-GGA
Structure: relaxed

Output
* V: 650.3 Å³/cell
* energy relative to the elements, uncorrected: -1.61 eV per atom

Structure (POSCAR):
```
Pm7ZnS5
1.0
-2.6186 -1.6987 -2.5392
-1.4474 -2.4704 6.3471
-15.4259 18.3644 3.6230
Pm S Zn
14 10 2
direct
0.9121 0.8246 0.3929
0.9124 0.8251 0.1071
0.3636 0.7279 0.9636
0.0884 0.1764 0.6071
0.4697 0.9394 0.2500
0.5309 0.0617 0.7500
0.8183 0.6366 0.6746
0.6369 0.2731 0.4636
0.3636 0.7279 0.5364
0.0882 0.1762 0.8929
0.1825 0.3650 0.1746
0.6371 0.2734 0.0364
0.1822 0.3644 0.3254
0.8181 0.6363 0.8254
0.7258 0.4519 0.9295
0.2749 0.5494 0.0705
0.4537 0.9073 0.8583
0.4539 0.9076 0.6417
0.7258 0.4520 0.5705
0.5466 0.0934 0.3583
0.2747 0.5491 0.4295
0.5469 0.0939 0.1417
0.0003 0.0006 0.0000
0.0003 0.0005 0.5000
0.7982 0.5949 0.2501
0.2023 0.4061 0.7499
```



No. 12
Compound: Hf3RhS
Source: Alexandria
Functional: PBE-GGA
Structure: relaxed

Output
* E above lowest polymorph: 0.378 eV/atom
* V: 101.9 Å³/cell
* energy relative to the elements, uncorrected: -0.33 eV per atom

Structure (POSCAR):
```
Hf3RhS
1.0
4.6700 0.0000 0.0000
0.0000 4.6700 0.0000
0.0000 0.0000 4.6700
Rh Hf S
1 3 1
direct
0.5000 0.5000 0.5000
0.0000 0.0000 0.5000
0.0000 0.5000 0.0000
0.5000 0.0000 0.0000
0.0000 0.0000 0.0000
```



No. 13
Compound: SrTl2Cl
Source: Alexandria
Functional: PBE-GGA
Structure: relaxed

Output
* E above lowest polymorph: 0.067 eV/atom
* V: 130.8 Å³/cell
* energy relative to the elements, uncorrected: -0.77 eV per atom

Structure (POSCAR):
```
SrTl2Cl
1.0
-0.0249 4.8346 4.8636
1.4240 -2.9239 2.9138
4.1278 1.0205 -0.9932
Sr Cl Tl
1 1 2
direct
0.5000 0.0000 0.5000
0.5000 0.5000 0.0000
0.0000 0.0000 0.0000
0.0000 0.5000 0.5000
```



No. 14
Compound: NaPr2Au2
Source: Alexandria
Functional: PBE-GGA
Structure: relaxed

Output
* energy relative to the elements: -0.59 eV per atom
* V: 276.4 Å³/cell

Structure (POSCAR):
```
NaPr2Au2
1.0
-0.6675 -1.2225 3.6294
-6.6446 -4.4271 -2.7132
4.9864 -6.6693 -1.3293
Na Pr Au
2 4 4
direct
0.0000 0.5000 0.5000
0.0000 0.0000 0.0000
0.5000 0.6600 0.8400
0.5000 0.1600 0.6600
0.5000 0.8400 0.3400
0.5000 0.3400 0.1600
0.0000 0.8664 0.6336
0.0000 0.3664 0.8664
0.0000 0.6336 0.1336
0.0000 0.1336 0.3664
```



No. 15
Compound: Sr2Cu6SiNi
Source: Alexandria
Functional: PBE-GGA
Structure: relaxed

Output
* V: 182.7 Å³/cell
* energy relative to the elements, uncorrected: -0.09 eV per atom

Structure (POSCAR):
```
Sr2Cu6SiNi
1.0
-1.4748 5.8915 -1.8765
-6.1642 -1.6532 -0.3179
-4.3606 3.2988 3.2092
Cu Sr Ni Si
6 2 1 1
direct
0.2540 0.1466 0.1046
0.1460 0.2517 0.4949
0.8540 0.7483 0.5051
0.7460 0.8534 0.8954
0.7487 0.2535 0.8936
0.2513 0.7465 0.1064
0.2992 0.7018 0.5965
0.7008 0.2982 0.4035
0.5000 0.5000 0.0000
0.0000 0.0000 0.0000
```



No. 16
Compound: SrLaI2
Source: Alexandria
Functional: PBE-GGA
Structure: relaxed

Output
* E above lowest polymorph: 0.000 eV/atom
* V: 171.7 Å³/cell
* energy relative to the elements, uncorrected: -1.00 eV per atom

Structure (POSCAR):
```
SrLaI2
1.0
4.1791 0.0000 0.0000
2.0896 3.6192 0.0000
2.0896 1.2064 11.3529
La I Sr
1 2 1
direct
0.5000 0.5000 0.5000
0.8995 0.8995 0.3015
0.1005 0.1005 0.6985
0.0000 0.0000 0.0000
```



No. 17
Compound: Tc2PbSe
Source: Alexandria
Functional: PBE-GGA
Structure: relaxed

Output
* E above lowest polymorph: 0.429 eV/atom
* V: 68.9 Å³/cell
* energy relative to the elements, uncorrected: 0.58 eV per atom

Structure (POSCAR):
```
Tc2PbSe
1.0
4.6033 -0.0020 0.0000
0.0020 4.6033 0.0000
0.0000 0.0000 3.2505
Tc Se Pb
2 1 1
direct
0.0000 0.0000 0.0000
0.5000 0.5000 0.0000
0.0000 0.5000 0.5000
0.5000 0.0000 0.5000
```



No. 18
Compound: CaLa3Ir
Source: Alexandria
Functional: PBE-GGA
Structure: relaxed

Output
* energy relative to the elements: -0.17 eV per atom
* E above lowest polymorph: 0.179 eV/atom
* V: 663.1 Å³/cell

Structure (POSCAR):
```
CaLa3Ir
1.0
-2.1774 -0.3116 -6.4008
11.6230 -0.6745 -3.9210
-0.2969 -7.9543 0.4882
Ir La Ca
4 12 4
direct
0.0973 0.7500 0.5607
0.4027 0.2500 0.0607
0.9027 0.2500 0.4393
0.5973 0.7500 0.9393
0.5469 0.1204 0.3735
0.0469 0.1204 0.1265
0.4531 0.6204 0.6265
0.7076 0.2500 0.7844
0.4531 0.8796 0.6265
0.7924 0.7500 0.2844
0.9531 0.8796 0.8735
0.2924 0.7500 0.2156
0.5469 0.3796 0.3735
0.9531 0.6204 0.8735
0.0469 0.3796 0.1265
0.2076 0.2500 0.7156
0.5000 0.5000 0.0000
0.0000 0.0000 0.5000
0.5000 0.0000 0.0000
0.0000 0.5000 0.5000
```



No. 19
Compound: CuSn2Bi
Source: Alexandria
Functional: PBE-GGA
Structure: relaxed

Output
* energy relative to the elements: 0.20 eV per atom
* V: 247.8 Å³/cell

Structure (POSCAR):
```
CuSn2Bi
1.0
-0.4338 5.5583 0.6270
-4.8955 -0.6815 2.6544
1.1328 1.9586 8.5212
Sn Cu Bi
4 2 2
direct
0.3750 0.4656 0.7500
0.2156 0.6250 0.2500
0.5344 0.1250 0.2500
0.8750 0.7844 0.7500
0.5000 0.5000 0.0000
0.2500 0.7500 0.5000
0.7500 0.2500 0.5000
0.0000 0.0000 0.0000
```



No. 20
Compound: YSi3IrRh
Source: Alexandria
Functional: PBE-GGA
Structure: relaxed

Output
* V: 232.9 Å³/cell
* energy relative to the elements, uncorrected: -0.61 eV per atom

Structure (POSCAR):
```
YSi3IrRh
1.0
5.5546 0.0000 0.0000
0.0000 6.2754 0.0000
0.0000 -3.1377 6.6810
Rh Si Y Ir
2 6 2 2
direct
0.2500 0.0551 0.1102
0.7500 0.9449 0.8898
0.5000 0.7087 0.0000
0.0000 0.2913 0.0000
0.0000 0.7087 0.0000
0.7500 0.7767 0.5534
0.5000 0.2913 0.0000
0.2500 0.2233 0.4466
0.2500 0.8095 0.6190
0.7500 0.1905 0.3810
0.2500 0.3911 0.7822
0.7500 0.6089 0.2178
```